Below is an optimized crystal structure of AcThCoI, with properties calculated at the GGA-PBE level.

a = 7.169 Å, b = 4.178 Å, c = 8.789 Å
α = 90.00°, β = 105.99°, γ = 90.00°
Space group Cm (No. 8)
Unique sites:
Ac  0.000  0.000  0.000 (multiplicity 2)
Th  0.281  0.500  0.352 (multiplicity 2)
Co  0.402  0.000  0.206 (multiplicity 2)
I  0.221  0.000  0.665 (multiplicity 2)

Values from the calculation:
- electronic total energy (eV for the cell shown) = -45.20
- raw formation energy (eV per formula unit) = -2.416
- magnetic moment (μB/cell) = 0.0



Below is an optimized crystal structure of Ac6Zn2CoI3, with properties calculated at the GGA-PBE level.

a = 8.146 Å, b = 12.969 Å, c = 8.777 Å
α = 90.00°, β = 106.30°, γ = 90.00°
Space group C2/m (No. 12)
Unique sites:
Ac  0.215  0.155  0.185 (multiplicity 8)
Ac  0.227  0.000  0.785 (multiplicity 4)
Zn  0.000  0.353  0.000 (multiplicity 4)
Co  0.000  0.000  0.000 (multiplicity 2)
I  0.000  0.180  0.500 (multiplicity 4)
I  0.000  0.500  0.500 (multiplicity 2)

Values from the calculation:
- electronic total energy (eV for the cell shown) = -91.92
- raw formation energy (eV per formula unit) = -7.006
- magnetic moment (μB/cell) = 0.0



Below is an optimized crystal structure of Ac8ZnCo3I4, with properties calculated at the GGA-PBE level.

a = 8.7476 Å, b = 8.7476 Å, c = 25.7698 Å
α = 90.00°, β = 90.00°, γ = 120.00°
Space group R-3m (No. 166, hexagonal axes)
Unique sites:
Ac  0.0000  0.0000  0.2281 (multiplicity 6)
Ac  0.0195  0.5097  0.7724 (multiplicity 18)
Zn  0.0000  0.0000  0.5000 (multiplicity 3)
Co  0.0000  0.5000  0.5000 (multiplicity 9)
I  0.0000  0.0000  0.0000 (multiplicity 3)
I  0.0000  0.5000  0.0000 (multiplicity 9)

Values from the calculation:
- electronic total energy (eV for the cell shown) = -213.93
- raw formation energy (eV per formula unit) = -9.652
- magnetic moment (μB/cell) = 0.0



Below is an optimized crystal structure of Ac6In2Co, with properties calculated at the GGA-PBE level.

a = 7.765 Å, b = 7.731 Å, c = 13.515 Å
α = 90.00°, β = 124.73°, γ = 90.00°
Space group P2_1/c (No. 14)
Unique sites:
Ac  0.190  0.220  0.473 (multiplicity 4)
Ac  0.257  0.718  0.474 (multiplicity 4)
Ac  0.309  0.001  0.253 (multiplicity 4)
In  0.240  0.024  0.748 (multiplicity 4)
Co  0.500  0.000  0.500 (multiplicity 2)

Values from the calculation:
- electronic total energy (eV for the cell shown) = -78.14
- E above lowest polymorph (eV per formula unit) = 0.00
- DFT formation energy (meV per atom) = -204
- magnetic moment (μB/cell) = 0.0



Below is an optimized crystal structure of Ac2InCo, with properties calculated at the GGA-PBE level.

a = 4.1085 Å, b = 4.1085 Å, c = 30.8149 Å
α = 90.00°, β = 90.00°, γ = 120.00°
Space group R-3m (No. 166, hexagonal axes)
Unique sites:
Ac  0.0000  0.0000  0.1150 (multiplicity 6)
In  0.0000  0.0000  0.0000 (multiplicity 3)
Co  0.0000  0.0000  0.5000 (multiplicity 3)

Values from the calculation:
- electronic total energy (eV for the cell shown) = -53.00
- DFT formation energy (meV per atom) = 99
- magnetic moment (μB/cell) = 0.0



Below is an optimized crystal structure of Ac11In9Co4, with properties calculated at the GGA-PBE level.

a = 15.514 Å, b = 23.207 Å, c = 4.010 Å
α = 90.00°, β = 90.00°, γ = 90.00°
Space group Cmmm (No. 65)
Unique sites:
Ac  0.000  0.000  0.000 (multiplicity 2)
Ac  0.000  0.164  0.000 (multiplicity 4)
Ac  0.000  0.377  0.000 (multiplicity 4)
Ac  0.185  0.500  0.000 (multiplicity 4)
Ac  0.250  0.168  0.000 (multiplicity 8)
In  0.000  0.500  0.500 (multiplicity 2)
In  0.100  0.267  0.500 (multiplicity 8)
In  0.154  0.068  0.500 (multiplicity 8)
Co  0.160  0.398  0.500 (multiplicity 8)

Values from the calculation:
- electronic total energy (eV for the cell shown) = -210.74
- DFT formation energy (meV per atom) = -296
- magnetic moment (μB/cell) = 0.0



What did the fourth record say?
Below is an optimized crystal structure of Ac6In2Co, with properties calculated at the GGA-PBE level.

a = 7.765 Å, b = 7.731 Å, c = 13.515 Å
α = 90.00°, β = 124.73°, γ = 90.00°
Space group P2_1/c (No. 14)
Unique sites:
Ac  0.190  0.220  0.473 (multiplicity 4)
Ac  0.257  0.718  0.474 (multiplicity 4)
Ac  0.309  0.001  0.253 (multiplicity 4)
In  0.240  0.024  0.748 (multiplicity 4)
Co  0.500  0.000  0.500 (multiplicity 2)

Values from the calculation:
- electronic total energy (eV for the cell shown) = -78.14
- E above lowest polymorph (eV per formula unit) = 0.00
- DFT formation energy (meV per atom) = -204
- magnetic moment (μB/cell) = 0.0



Question: Look up the magnetic moment of the fifth one.
Answer: 0.0 μB/cell